# 1
Below is Al2CuS after structural relaxation, with properties calculated at the PBE-GGA level.

```
Al2CuS
1.0
5.847 0.000 0.000
0.000 5.847 0.000
2.924 2.924 4.854
Al S Cu
4 2 2
Cartesian
4.385 4.355 3.640
7.309 7.339 3.640
1.431 4.385 1.213
4.416 1.462 1.213
2.924 2.924 0.000
2.924 5.847 2.427
5.847 2.924 2.427
0.000 0.000 0.000
```

Calculated values
The crystal system is tetragonal. The formation energy without anion corrections comes out at -0.23 eV per formula unit.

***

# 2
Below is Ac2Nd3Y3 after structural relaxation, with properties calculated at the PBE-GGA level.

```
Ac2Nd3Y3
1.0
-3.299 0.163 1.961
0.834 -8.813 -1.627
8.955 -1.964 15.229
Y Nd Ac
6 6 4
Cartesian
5.468 -1.984 9.365
7.820 -2.499 13.365
6.049 -8.610 10.893
1.021 -8.630 6.198
0.440 -2.004 4.670
-1.331 -8.115 2.198
4.177 -8.171 7.706
-1.438 -1.620 1.478
1.613 -7.187 3.312
7.927 -8.994 14.085
2.313 -2.443 7.857
4.877 -3.427 12.251
3.369 -5.449 9.883
0.536 -4.598 1.284
3.121 -5.165 5.680
5.953 -6.016 14.279
```

Calculated values
The value obtained for the formation energy is 0.15 eV per atom. The crystal system is orthorhombic.